Record 1
# GaB3N PBE relaxed
# Formation energy (no corrections) in meV/atom: 1769
# Mass density in kg/m³: 4289
# Density of states at the Fermi level in states/eV per cell: 1.465
# Electronic total energy in eV/atom: -4.51
data_GaB3N
_cell_length_a 3.5561
_cell_length_b 3.5561
_cell_length_c 3.5561
_cell_angle_alpha 90.00
_cell_angle_beta 90.00
_cell_angle_gamma 90.00
_space_group_name_H-M_alt 'P m -3 m'
_space_group_IT_number 221
_space_group_name_Hall '-P 4 2 3'
loop_
_atom_site_label
_atom_site_fract_x
_atom_site_fract_y
_atom_site_fract_z
Ga1 0.0000 0.0000 0.0000
B1 0.0000 0.5000 0.5000
N1 0.5000 0.5000 0.5000


Record 2
# Ca2MnWCl PBE relaxed
# Formation energy (no corrections) in meV/atom: 639
# Mass density in kg/m³: 3971
# Density of states at the Fermi level in states/eV per cell: 6.226
# Electronic total energy in eV/atom: -4.96
data_Ca2MnWCl
_cell_length_a 5.9337
_cell_length_b 5.9337
_cell_length_c 4.2093
_cell_angle_alpha 90.00
_cell_angle_beta 90.00
_cell_angle_gamma 90.00
_space_group_name_H-M_alt 'P 4/m m m'
_space_group_IT_number 123
_space_group_name_Hall '-P 4 2'
loop_
_atom_site_label
_atom_site_fract_x
_atom_site_fract_y
_atom_site_fract_z
Ca1 0.0000 0.5000 0.0000
Mn1 0.0000 0.0000 0.5000
W1 0.0000 0.0000 0.0000
Cl1 0.5000 0.5000 0.5000


Record 3
# Ce2HoCu6 PBE relaxed
# Formation energy in eV per atom: -0.177
# Mass density in kg/m³: 8206
# Density of states at the Fermi level in states/eV per cell: 13.358
# Electronic total energy in eV/atom: -4.73
data_Ce2HoCu6
_cell_length_a 7.4861
_cell_length_b 7.4861
_cell_length_c 3.4458
_cell_angle_alpha 90.00
_cell_angle_beta 90.00
_cell_angle_gamma 120.00
_space_group_name_H-M_alt 'P 6/m m m'
_space_group_IT_number 191
_space_group_name_Hall '-P 6 2'
loop_
_atom_site_label
_atom_site_fract_x
_atom_site_fract_y
_atom_site_fract_z
Ce1 0.3333 0.6667 0.0000
Ho1 0.0000 0.0000 0.0000
Cu1 0.0000 0.3318 0.5000


Record 4
# CdBiS2Br PBE relaxed
# Formation energy (no corrections) in meV/atom: -523
# Mass density in kg/m³: 4703
# Electronic total energy in eV/atom: -3.47
data_CdBiS2Br
_cell_length_a 7.2817
_cell_length_b 4.2105
_cell_length_c 11.2410
_cell_angle_alpha 90.00
_cell_angle_beta 107.52
_cell_angle_gamma 90.00
_space_group_name_H-M_alt 'P 1 21/m 1'
_space_group_IT_number 11
_space_group_name_Hall '-P 2yb'
loop_
_atom_site_label
_atom_site_fract_x
_atom_site_fract_y
_atom_site_fract_z
Cd1 0.0010 0.2500 0.1527
Bi1 0.4627 0.7500 0.3307
S1 0.1678 0.7500 0.1160
S2 0.2847 0.2500 0.4019
Br1 0.3339 0.7500 0.7963


Record 5
# SrSiP3 PBE relaxed
# Formation energy (no corrections) in meV/atom: 1639
# Mass density in kg/m³: 2262
# Density of states at the Fermi level in states/eV per cell: 4.621
# Electronic total energy in eV/atom: -3.03
data_SrSiP3
_cell_length_a 5.3505
_cell_length_b 5.3505
_cell_length_c 5.3505
_cell_angle_alpha 90.00
_cell_angle_beta 90.00
_cell_angle_gamma 90.00
_space_group_name_H-M_alt 'P m -3 m'
_space_group_IT_number 221
_space_group_name_Hall '-P 4 2 3'
loop_
_atom_site_label
_atom_site_fract_x
_atom_site_fract_y
_atom_site_fract_z
Sr1 0.0000 0.0000 0.0000
Si1 0.5000 0.5000 0.5000
P1 0.0000 0.0000 0.5000


Record 6
# ZrIr2Rh PBE relaxed
# Formation energy in eV per atom: -0.113
# Mass density in kg/m³: 13743
# Density of states at the Fermi level in states/eV per cell: 17.514
# Electronic total energy in eV/atom: -8.52
data_ZrIr2Rh
_cell_length_a 3.8753
_cell_length_b 3.8753
_cell_length_c 18.6187
_cell_angle_alpha 90.00
_cell_angle_beta 90.00
_cell_angle_gamma 90.00
_space_group_name_H-M_alt 'I -4 2 d'
_space_group_IT_number 122
_space_group_name_Hall 'I -4 2bw'
loop_
_atom_site_label
_atom_site_fract_x
_atom_site_fract_y
_atom_site_fract_z
Zr1 0.0000 0.0000 0.0000
Ir1 0.2166 0.2500 0.6250
Rh1 0.0000 0.0000 0.5000


Record 7
# ScGa4Ni6 PBE relaxed
# Formation energy in eV per atom: -0.206
# Mass density in kg/m³: 6930
# Density of states at the Fermi level in states/eV per cell: 19.395
# Electronic total energy in eV/atom: -5.04
data_ScGa4Ni6
_cell_length_a 6.0089
_cell_length_b 6.0089
_cell_length_c 8.9725
_cell_angle_alpha 90.00
_cell_angle_beta 90.00
_cell_angle_gamma 90.00
_space_group_name_H-M_alt 'I -4 2 m'
_space_group_IT_number 121
_space_group_name_Hall 'I -4 2'
loop_
_atom_site_label
_atom_site_fract_x
_atom_site_fract_y
_atom_site_fract_z
Sc1 0.0000 0.0000 0.0000
Ga1 0.2056 0.2056 0.6918
Ni1 0.0000 0.5000 0.0000
Ni2 0.1633 0.1633 0.4166


Record 8
# Sr2As4Pt3Rh PBE relaxed
# Formation energy in eV per atom: -0.774
# Mass density in kg/m³: 9542
# Density of states at the Fermi level in states/eV per cell: 7.576
# Electronic total energy in eV/atom: -5.52
data_Sr2As4Pt3Rh
_cell_length_a 4.5195
_cell_length_b 4.5195
_cell_length_c 9.9091
_cell_angle_alpha 90.00
_cell_angle_beta 90.00
_cell_angle_gamma 90.00
_space_group_name_H-M_alt 'P -4 m 2'
_space_group_IT_number 115
_space_group_name_Hall 'P -4 -2'
loop_
_atom_site_label
_atom_site_fract_x
_atom_site_fract_y
_atom_site_fract_z
Sr1 0.0000 0.5000 0.2464
As1 0.0000 0.0000 0.0000
As2 0.0000 0.5000 0.6238
As3 0.5000 0.5000 0.0000
Pt1 0.0000 0.5000 0.8803
Pt2 0.5000 0.5000 0.5000
Rh1 0.0000 0.0000 0.5000


Record 9
# Pm3Tc PBE relaxed
# Formation energy in eV per atom: 0.378
# Mass density in kg/m³: 7315
# Density of states at the Fermi level in states/eV per cell: 6.186
# Electronic total energy in eV/atom: -5.78
data_Pm3Tc
_cell_length_a 3.4542
_cell_length_b 3.6388
_cell_length_c 9.6270
_cell_angle_alpha 90.00
_cell_angle_beta 90.00
_cell_angle_gamma 90.00
_space_group_name_H-M_alt 'P m m 2'
_space_group_IT_number 25
_space_group_name_Hall 'P 2 -2'
loop_
_atom_site_label
_atom_site_fract_x
_atom_site_fract_y
_atom_site_fract_z
Pm1 0.0000 0.0000 0.0000
Pm2 0.0000 0.5000 0.3362
Pm3 0.5000 0.5000 0.7080
Tc1 0.5000 0.0000 0.4971


Record 10
# CdP2Au PBE relaxed
# Formation energy in eV per atom: 0.112
# Mass density in kg/m³: 7636
# Density of states at the Fermi level in states/eV per cell: 1.090
# Electronic total energy in eV/atom: -3.64
data_CdP2Au
_cell_length_a 3.2721
_cell_length_b 5.1856
_cell_length_c 4.7655
_cell_angle_alpha 90.00
_cell_angle_beta 93.06
_cell_angle_gamma 90.00
_space_group_name_H-M_alt 'P 1 2/m 1'
_space_group_IT_number 10
_space_group_name_Hall '-P 2y'
loop_
_atom_site_label
_atom_site_fract_x
_atom_site_fract_y
_atom_site_fract_z
Cd1 0.0000 0.0000 0.0000
P1 0.2414 0.5000 0.3447
Au1 0.5000 0.0000 0.5000


Record 11
# TbZrAgHg PBE relaxed
# Formation energy in eV per atom: -0.174
# Mass density in kg/m³: 10014
# Density of states at the Fermi level in states/eV per cell: 16.097
# Electronic total energy in eV/atom: -4.26
data_TbZrAgHg
_cell_length_a 7.1824
_cell_length_b 7.1824
_cell_length_c 7.1824
_cell_angle_alpha 90.00
_cell_angle_beta 90.00
_cell_angle_gamma 90.00
_space_group_name_H-M_alt 'F -4 3 m'
_space_group_IT_number 216
_space_group_name_Hall 'F -4 2 3'
loop_
_atom_site_label
_atom_site_fract_x
_atom_site_fract_y
_atom_site_fract_z
Tb1 0.0000 0.0000 0.0000
Zr1 0.0000 0.0000 0.5000
Ag1 0.2500 0.2500 0.7500
Hg1 0.2500 0.2500 0.2500


Record 12
# Hf6CoPb PBE relaxed
# Formation energy in eV per atom: 0.113
# Mass density in kg/m³: 12304
# Density of states at the Fermi level in states/eV per cell: 21.418
# Electronic total energy in eV/atom: -8.70
data_Hf6CoPb
_cell_length_a 9.1983
_cell_length_b 9.1983
_cell_length_c 7.3874
_cell_angle_alpha 90.00
_cell_angle_beta 90.00
_cell_angle_gamma 120.00
_space_group_name_H-M_alt 'R -3 m'
_space_group_IT_number 166
_space_group_name_Hall '-R 3 2"'
loop_
_atom_site_label
_atom_site_fract_x
_atom_site_fract_y
_atom_site_fract_z
Hf1 0.0592 0.5296 0.3109
Co1 0.0000 0.0000 0.5000
Pb1 0.0000 0.0000 0.0000


Record 13
# NbInPt2I PBE relaxed
# Formation energy (no corrections) in meV/atom: 1287
# Mass density in kg/m³: 9221
# Density of states at the Fermi level in states/eV per cell: 9.974
# Electronic total energy in eV/atom: -4.00
data_NbInPt2I
_cell_length_a 4.9663
_cell_length_b 4.9663
_cell_length_c 5.2920
_cell_angle_alpha 90.00
_cell_angle_beta 90.00
_cell_angle_gamma 90.00
_space_group_name_H-M_alt 'P 4/m m m'
_space_group_IT_number 123
_space_group_name_Hall '-P 4 2'
loop_
_atom_site_label
_atom_site_fract_x
_atom_site_fract_y
_atom_site_fract_z
Nb1 0.0000 0.0000 0.0000
In1 0.0000 0.0000 0.5000
Pt1 0.0000 0.5000 0.5000
I1 0.5000 0.5000 0.0000


Record 14
# Ca2HoSc PBE relaxed
# Formation energy in eV per atom: 0.327
# Mass density in kg/m³: 3603
# Density of states at the Fermi level in states/eV per cell: 20.520
# Electronic total energy in eV/atom: -3.40
data_Ca2HoSc
_cell_length_a 3.4895
_cell_length_b 3.4895
_cell_length_c 38.0273
_cell_angle_alpha 90.00
_cell_angle_beta 90.00
_cell_angle_gamma 120.00
_space_group_name_H-M_alt 'R -3 m'
_space_group_IT_number 166
_space_group_name_Hall '-R 3 2"'
loop_
_atom_site_label
_atom_site_fract_x
_atom_site_fract_y
_atom_site_fract_z
Ca1 0.0000 0.0000 0.0852
Ho1 0.0000 0.0000 0.5000
Sc1 0.0000 0.0000 0.0000


Record 15
# LaSi3As PBE relaxed
# Formation energy (no corrections) in meV/atom: 1595
# Mass density in kg/m³: 2988
# Density of states at the Fermi level in states/eV per cell: 6.733
# Electronic total energy in eV/atom: -3.57
data_LaSi3As
_cell_length_a 5.4918
_cell_length_b 5.4918
_cell_length_c 5.4918
_cell_angle_alpha 90.00
_cell_angle_beta 90.00
_cell_angle_gamma 90.00
_space_group_name_H-M_alt 'P m -3 m'
_space_group_IT_number 221
_space_group_name_Hall '-P 4 2 3'
loop_
_atom_site_label
_atom_site_fract_x
_atom_site_fract_y
_atom_site_fract_z
La1 0.0000 0.0000 0.0000
Si1 0.0000 0.0000 0.5000
As1 0.5000 0.5000 0.5000


Record 16
# NaGa7Pd2 PBE relaxed
# Formation energy in eV per atom: -0.164
# Mass density in kg/m³: 5537
# Density of states at the Fermi level in states/eV per cell: 6.460
# Electronic total energy in eV/atom: -3.45
data_NaGa7Pd2
_cell_length_a 8.9411
_cell_length_b 10.4753
_cell_length_c 4.6354
_cell_angle_alpha 90.00
_cell_angle_beta 90.00
_cell_angle_gamma 90.00
_space_group_name_H-M_alt 'C m m m'
_space_group_IT_number 65
_space_group_name_Hall '-C 2 2'
loop_
_atom_site_label
_atom_site_fract_x
_atom_site_fract_y
_atom_site_fract_z
Na1 0.0000 0.0000 0.0000
Ga1 0.0000 0.3543 0.0000
Ga2 0.0000 0.5000 0.5000
Ga3 0.2302 0.1230 0.5000
Pd1 0.0000 0.2578 0.5000


Record 17
# Ac2YAl PBE relaxed
# Formation energy in eV per atom: -0.057
# Mass density in kg/m³: 6747
# Density of states at the Fermi level in states/eV per cell: 5.547
# Electronic total energy in eV/atom: -4.66
data_Ac2YAl
_cell_length_a 3.9704
_cell_length_b 3.9704
_cell_length_c 8.8977
_cell_angle_alpha 90.00
_cell_angle_beta 90.00
_cell_angle_gamma 90.00
_space_group_name_H-M_alt 'P 4/m m m'
_space_group_IT_number 123
_space_group_name_Hall '-P 4 2'
loop_
_atom_site_label
_atom_site_fract_x
_atom_site_fract_y
_atom_site_fract_z
Ac1 0.0000 0.0000 0.2132
Y1 0.5000 0.5000 0.5000
Al1 0.5000 0.5000 0.0000


Record 18
# TcSnI PBE relaxed
# Formation energy (no corrections) in meV/atom: 452
# Mass density in kg/m³: 6801
# Density of states at the Fermi level in states/eV per cell: 5.818
# Electronic total energy in eV/atom: -4.85
data_TcSnI
_cell_length_a 3.2181
_cell_length_b 7.0975
_cell_length_c 7.7302
_cell_angle_alpha 103.42
_cell_angle_beta 101.96
_cell_angle_gamma 90.02
_space_group_name_H-M_alt 'P -1'
_space_group_IT_number 2
_space_group_name_Hall '-P 1'
loop_
_atom_site_label
_atom_site_fract_x
_atom_site_fract_y
_atom_site_fract_z
Tc1 0.1725 0.4287 0.3443
Sn1 0.4563 0.7949 0.9152
I1 0.3158 0.2644 0.6325


Record 19
# Mg2CrP2 PBE relaxed
# Formation energy in eV per atom: 0.221
# Mass density in kg/m³: 2796
# Density of states at the Fermi level in states/eV per cell: 2.730
# Electronic total energy in eV/atom: -4.51
data_Mg2CrP2
_cell_length_a 4.4273
_cell_length_b 4.4273
_cell_length_c 4.9257
_cell_angle_alpha 90.00
_cell_angle_beta 90.00
_cell_angle_gamma 90.00
_space_group_name_H-M_alt 'P 4/m m m'
_space_group_IT_number 123
_space_group_name_Hall '-P 4 2'
loop_
_atom_site_label
_atom_site_fract_x
_atom_site_fract_y
_atom_site_fract_z
Mg1 0.0000 0.0000 0.0000
Mg2 0.5000 0.5000 0.0000
Cr1 0.0000 0.0000 0.5000
P1 0.0000 0.5000 0.5000


Record 20
# Nd2Ga3Cu2 PBE relaxed
# Formation energy in eV per atom: -0.434
# Mass density in kg/m³: 7464
# Density of states at the Fermi level in states/eV per cell: 9.581
# Electronic total energy in eV/atom: -4.26
data_Nd2Ga3Cu2
_cell_length_a 10.4218
_cell_length_b 4.3671
_cell_length_c 6.5818
_cell_angle_alpha 90.00
_cell_angle_beta 111.89
_cell_angle_gamma 90.00
_space_group_name_H-M_alt 'C 1 2/m 1'
_space_group_IT_number 12
_space_group_name_Hall '-C 2y'
loop_
_atom_site_label
_atom_site_fract_x
_atom_site_fract_y
_atom_site_fract_z
Nd1 0.1534 0.0000 0.2763
Ga1 0.0000 0.5000 0.5000
Ga2 0.1014 0.5000 0.9278
Cu1 0.1478 0.0000 0.7644